This record from the Alexandria database describes crystalline LaMoAu at its relaxed geometry. The functional is PBEsol.

As for the density of states at the Fermi level: 3.4 states/eV/f.u. As for the crystal system: cubic. Its energy of formation from the pure elements is 0.670 eV per atom. As for the total moment: 1.05 μB per atom.

The structure belongs to space group F-43m (No. 216); the cell edges are 6.7742, 6.7742 and 6.7742 Å and the angles 90.00°, 90.00° and 90.00°. The inequivalent atoms are La at (0.0000, 0.0000, 0.0000), Mo at (0.0000, 0.0000, 0.5000) and Au at (0.2500, 0.2500, 0.7500).